DFT (PBE) results for a relaxed Tb2HgIr2 crystal.

The structure belongs to space group Immm (No. 71); the cell edges are 4.463, 5.966 and 8.203 Å and the angles 90.00°, 90.00° and 90.00°. Symmetry generates all atoms from Tb at (0.000, 0.000, 0.209), Hg at (0.000, 0.500, 0.000) and Ir at (0.000, 0.290, 0.500).

The formation energy from the elements comes out at -3.32 eV/f.u. The volume is 109.2 Å³/f.u. Its calculated density is 13.73 g cm⁻³.